The following is a DFT calculation (GGA-PBE) of Li4CeHg12 after structural relaxation.

Summary:
- SG: Im-3, No. 204
- DFT formation energy: -0.114 eV per atom

Lattice parameters (Å, degrees): 8.2149 8.2149 8.2149 109.47 109.47 109.47
Fractional positions:
Li  0.0000  0.0000  0.5000
Li  0.0000  0.5000  0.0000
Li  0.5000  0.0000  0.0000
Li  0.5000  0.5000  0.5000
Ce  0.0000  0.0000  0.0000
Hg  0.1586  0.3413  0.4998
Hg  0.1586  0.6587  0.8173
Hg  0.1827  0.8414  0.3413
Hg  0.3413  0.1827  0.8414
Hg  0.3413  0.4998  0.1586
Hg  0.4998  0.1586  0.3413
Hg  0.5002  0.8414  0.6587
Hg  0.6587  0.5002  0.8414
Hg  0.6587  0.8173  0.1586
Hg  0.8173  0.1586  0.6587
Hg  0.8414  0.3413  0.1827
Hg  0.8414  0.6587  0.5002


The following is a DFT calculation (GGA-PBE) of LiCe2Hg2 after structural relaxation.

Summary:
- SG: C2/m, No. 12
- ΔE to the lowest computed polymorph: 0 meV/atom
- DFT formation energy: -0.225 eV per atom

Lattice parameters (Å, degrees): 5.9347 5.9347 9.6996 103.46 103.46 47.72
Fractional positions:
Li  0.2332  0.2332  0.3121
Li  0.7668  0.7668  0.6879
Ce  0.3205  0.3205  0.9512
Ce  0.4611  0.4611  0.6249
Ce  0.5389  0.5389  0.3751
Ce  0.6795  0.6795  0.0488
Hg  0.0078  0.0078  0.8511
Hg  0.1550  0.1550  0.5984
Hg  0.8450  0.8450  0.4016
Hg  0.9922  0.9922  0.1489


The following is a DFT calculation (GGA-PBE) of LiCe2Hg2 after structural relaxation.

Summary:
- SG: Cmc2_1, No. 36
- ΔE to the lowest computed polymorph: 37 meV/atom
- DFT formation energy: -0.189 eV per atom

Lattice parameters (Å, degrees): 8.6670 8.6670 6.1879 90.00 90.00 145.89
Fractional positions:
Li  0.0936  0.9064  0.5000
Li  0.9064  0.0936  0.0000
Ce  0.2888  0.7112  0.5145
Ce  0.4990  0.5010  0.7513
Ce  0.5010  0.4990  0.2513
Ce  0.7112  0.2888  0.0145
Hg  0.0884  0.9116  0.9994
Hg  0.3288  0.6712  0.0140
Hg  0.6712  0.3288  0.5140
Hg  0.9116  0.0884  0.4994


The following is a DFT calculation (GGA-PBE) of LiCe2Hg7 after structural relaxation.

Summary:
- SG: Fm-3m, No. 225
- DFT formation energy: 0.020 eV per atom

Lattice parameters (Å, degrees): 7.2887 7.2887 7.2887 60.00 60.00 60.00
Fractional positions:
Li  0.0000  0.0000  0.0000
Ce  0.2500  0.2500  0.2500
Ce  0.7500  0.7500  0.7500
Hg  0.2326  0.2326  0.7674
Hg  0.2326  0.7674  0.2326
Hg  0.2326  0.7674  0.7674
Hg  0.5000  0.5000  0.5000
Hg  0.7674  0.2326  0.2326
Hg  0.7674  0.2326  0.7674
Hg  0.7674  0.7674  0.2326


The following is a DFT calculation (GGA-PBE) of Li2Ce2Hg3 after structural relaxation.

Summary:
- SG: Cmmm, No. 65
- DFT formation energy: -0.264 eV per atom

Lattice parameters (Å, degrees): 13.3031 13.3031 3.2462 90.00 90.00 163.62
Fractional positions:
Li  0.2158  0.7842  0.0000
Li  0.7842  0.2158  0.0000
Ce  0.0833  0.9167  0.0000
Ce  0.9167  0.0833  0.0000
Hg  0.3324  0.6676  0.5000
Hg  0.5000  0.5000  0.5000
Hg  0.6676  0.3324  0.5000


The following is a DFT calculation (GGA-PBE) of LiCe2Hg6 after structural relaxation.

Summary:
- SG: C2/m, No. 12
- ΔE to the lowest computed polymorph: 59 meV/atom
- DFT formation energy: -0.233 eV per atom

Lattice parameters (Å, degrees): 8.7410 8.7410 3.4732 90.49 90.49 58.52
Fractional positions:
Li  0.0000  0.0000  0.0000
Ce  0.3062  0.3062  0.5027
Ce  0.6938  0.6938  0.4973
Hg  0.0259  0.6679  0.0028
Hg  0.3227  0.6773  0.5000
Hg  0.3321  0.9741  0.9972
Hg  0.6679  0.0259  0.0028
Hg  0.6773  0.3227  0.5000
Hg  0.9741  0.3321  0.9972


The following is a DFT calculation (GGA-PBE) of LiCe2Hg12 after structural relaxation.

Summary:
- SG: P4/nbm, No. 125
- DFT formation energy: -0.076 eV per atom

Lattice parameters (Å, degrees): 6.7513 6.7513 17.4040 90.00 90.00 90.00
Fractional positions:
Li  0.2500  0.7500  0.0000
Li  0.7500  0.2500  0.0000
Ce  0.2500  0.7500  0.2401
Ce  0.2500  0.7500  0.7599
Ce  0.7500  0.2500  0.2401
Ce  0.7500  0.2500  0.7599
Hg  0.0006  0.5006  0.0850
Hg  0.0006  0.9994  0.9150
Hg  0.0930  0.5930  0.4287
Hg  0.0930  0.9070  0.5713
Hg  0.2500  0.2500  0.1865
Hg  0.2500  0.2500  0.3460
Hg  0.2500  0.2500  0.6540
Hg  0.2500  0.2500  0.8135
Hg  0.4070  0.5930  0.5713
Hg  0.4070  0.9070  0.4287
Hg  0.4994  0.5006  0.9150
Hg  0.4994  0.9994  0.0850
Hg  0.5006  0.0006  0.9150
Hg  0.5006  0.4994  0.0850
Hg  0.5930  0.0930  0.5713
Hg  0.5930  0.4070  0.4287
Hg  0.7500  0.7500  0.1865
Hg  0.7500  0.7500  0.3460
Hg  0.7500  0.7500  0.6540
Hg  0.7500  0.7500  0.8135
Hg  0.9070  0.0930  0.4287
Hg  0.9070  0.4070  0.5713
Hg  0.9994  0.0006  0.0850
Hg  0.9994  0.4994  0.9150


The following is a DFT calculation (GGA-PBE) of Li2Ce3Hg6 after structural relaxation.

Summary:
- SG: I4/mmm, No. 139
- DFT formation energy: -0.203 eV per atom

Lattice parameters (Å, degrees): 12.8292 12.8292 12.8292 158.59 158.59 30.46
Fractional positions:
Li  0.0525  0.0525  0.0000
Li  0.9475  0.9475  0.0000
Ce  0.3064  0.3064  0.0000
Ce  0.5000  0.5000  0.0000
Ce  0.6936  0.6936  0.0000
Hg  0.0965  0.5965  0.5000
Hg  0.1804  0.1804  0.0000
Hg  0.4035  0.9035  0.5000
Hg  0.5965  0.0965  0.5000
Hg  0.8196  0.8196  0.0000
Hg  0.9035  0.4035  0.5000


The following is a DFT calculation (GGA-PBE) of Li2CeHg3 after structural relaxation.

Summary:
- SG: P4/mmm, No. 123
- ΔE to the lowest computed polymorph: 0 meV/atom
- DFT formation energy: -0.342 eV per atom

Lattice parameters (Å, degrees): 3.4321 3.4321 10.8624 90.00 90.00 90.00
Fractional positions:
Li  0.0000  0.0000  0.1479
Li  0.0000  0.0000  0.8521
Ce  0.0000  0.0000  0.5000
Hg  0.5000  0.5000  0.0000
Hg  0.5000  0.5000  0.2930
Hg  0.5000  0.5000  0.7070


The following is a DFT calculation (GGA-PBE) of Li3CeHg2 after structural relaxation.

Summary:
- SG: C2/m, No. 12
- DFT formation energy: -0.253 eV per atom

Lattice parameters (Å, degrees): 7.4579 7.4579 9.6194 124.38 124.38 36.40
Fractional positions:
Li  0.0707  0.0707  0.4233
Li  0.2666  0.2666  0.4110
Li  0.4218  0.4218  0.2925
Li  0.5782  0.5782  0.7075
Li  0.7334  0.7334  0.5890
Li  0.9293  0.9293  0.5767
Ce  0.0992  0.0992  0.0016
Ce  0.9008  0.9008  0.9984
Hg  0.1976  0.1976  0.7766
Hg  0.4067  0.4067  0.7608
Hg  0.5933  0.5933  0.2392
Hg  0.8024  0.8024  0.2234


The following is a DFT calculation (GGA-PBE) of Li3CeHg4 after structural relaxation.

Summary:
- SG: R-3m, No. 166
- DFT formation energy: -0.327 eV per atom

Lattice parameters (Å, degrees): 9.2565 9.2565 9.2565 29.78 29.78 29.78
Fractional positions:
Li  0.0000  0.0000  0.0000
Li  0.2631  0.2631  0.2631
Li  0.7369  0.7369  0.7369
Ce  0.5000  0.5000  0.5000
Hg  0.1062  0.1062  0.1062
Hg  0.3726  0.3726  0.3726
Hg  0.6274  0.6274  0.6274
Hg  0.8938  0.8938  0.8938


The following is a DFT calculation (GGA-PBE) of LiCe2Hg4 after structural relaxation.

Summary:
- SG: R-3m, No. 166
- ΔE to the lowest computed polymorph: 0 meV/atom
- DFT formation energy: -0.225 eV per atom

Lattice parameters (Å, degrees): 9.6679 9.6679 9.6679 29.33 29.33 29.33
Fractional positions:
Li  0.0000  0.0000  0.0000
Ce  0.2502  0.2502  0.2502
Ce  0.7498  0.7498  0.7498
Hg  0.1354  0.1354  0.1354
Hg  0.3646  0.3646  0.3646
Hg  0.6354  0.6354  0.6354
Hg  0.8646  0.8646  0.8646


Number 1: spin magnetization 1.6 μB per cell, total energy -19.15 eV for the cell shown. Number 2: spin magnetization 2.9 μB per cell, total energy -31.02 eV for the cell shown. Number 3: spin magnetization 4.7 μB per cell, total energy -30.66 eV for the cell shown. Number 4: spin magnetization 3.3 μB per cell, total energy -15.70 eV for the cell shown. Number 5: spin magnetization 2.3 μB per cell, total energy -18.45 eV for the cell shown. Number 6: spin magnetization 2.3 μB per cell, total energy -17.69 eV for the cell shown. Number 7: spin magnetization 5.8 μB per cell, total energy -37.08 eV for the cell shown. Number 8: spin magnetization 4.1 μB per cell, total energy -25.67 eV for the cell shown. Number 9: spin magnetization 1.4 μB per cell, total energy -12.72 eV for the cell shown. Number 10: spin magnetization 1.9 μB per cell, total energy -27.60 eV for the cell shown. Number 11: spin magnetization 1.2 μB per cell, total energy -15.50 eV for the cell shown. Number 12: spin magnetization 2.1 μB per cell, total energy -16.56 eV for the cell shown.